# 1
Here is a relaxed Pm12SmEr5 crystal from the Alexandria database. Energies are from PBE.

Calculated values
Calculated formation energy: 0.082 eV/atom
Total moment: 0.000 Bohr magnetons per cell
E_tot: -4.61 eV/atom

Unit cell a=10.473 b=10.473 c=5.768 alpha=90.01 beta=90.01 gamma=109.03
Atoms (fractional coordinates):
Pm  0.031  0.670  0.999
Pm  0.171  0.530  0.501
Pm  0.203  0.203  0.488
Pm  0.302  0.302  0.989
Pm  0.330  0.969  0.001
Pm  0.470  0.829  0.499
Pm  0.530  0.171  0.501
Pm  0.670  0.031  0.999
Pm  0.698  0.698  0.011
Pm  0.797  0.797  0.512
Pm  0.829  0.470  0.499
Pm  0.969  0.330  0.001
Sm  0.000  0.000  0.000
Er  0.137  0.863  0.500
Er  0.364  0.636  0.000
Er  0.500  0.500  0.500
Er  0.636  0.364  0.000
Er  0.863  0.137  0.500

---

# 2
Here is a relaxed TaNb2CdSb crystal from the Alexandria database. Energies are from PBE.

Calculated values
Uncorrected formation energy: 1783.0 meV/atom
Total moment: 0.003 Bohr magnetons per cell
E_tot: -5.62 eV/atom

Unit cell a=5.010 b=5.010 c=4.983 alpha=90.00 beta=90.00 gamma=90.00
Atoms (fractional coordinates):
Ta  0.000  0.000  0.000
Nb  0.000  0.500  0.500
Nb  0.500  0.000  0.500
Cd  0.000  0.000  0.500
Sb  0.500  0.500  0.000